Entry 1:
## MgTaGaCo (GGA-PBE)

Data for a relaxed MgTaGaCo crystal.

Values from the calculation:
Total moment: 0.2 Bohr magnetons per cell
Energy relative to the lowest polymorph listed for this composition: 0 meV/atom
V: 59.2 Å³ per cell

Unit cell a=4.375 b=4.375 c=4.375 alpha=60.00 beta=60.00 gamma=60.00
Fractional coordinates of all 4 atoms:
Mg 0.000 0.000 0.000
Ta 0.750 0.750 0.750
Ga 0.250 0.250 0.250
Co 0.500 0.500 0.500

***

Entry 2:
## MgTaGaCo (GGA-PBE)

Data for a relaxed MgTaGaCo crystal.

Values from the calculation:
Total moment: 1.5 Bohr magnetons per cell
Energy relative to the lowest polymorph listed for this composition: 206 meV/atom
V: 60.5 Å³ per cell

Unit cell a=4.406 b=4.406 c=4.406 alpha=60.00 beta=60.00 gamma=60.00
Fractional coordinates of all 4 atoms:
Mg 0.000 0.000 0.000
Ta 0.250 0.250 0.250
Ga 0.500 0.500 0.500
Co 0.750 0.750 0.750

***

Entry 3:
## MgGaCoTc (GGA-PBE)

Data for a relaxed MgGaCoTc crystal.

Values from the calculation:
Total moment: 1.8 Bohr magnetons per cell
Energy relative to the lowest polymorph listed for this composition: 0 meV/atom
V: 56.3 Å³ per cell

Unit cell a=4.301 b=4.301 c=4.301 alpha=60.00 beta=60.00 gamma=60.00
Fractional coordinates of all 4 atoms:
Mg 0.000 0.000 0.000
Ga 0.500 0.500 0.500
Co 0.750 0.750 0.750
Tc 0.250 0.250 0.250

***

Entry 4:
## MgGaCoW (GGA-PBE)

Data for a relaxed MgGaCoW crystal.

Values from the calculation:
Total moment: 2.0 Bohr magnetons per cell
Energy relative to the lowest polymorph listed for this composition: 0 meV/atom
V: 57.7 Å³ per cell

Unit cell a=4.338 b=4.338 c=4.338 alpha=60.00 beta=60.00 gamma=60.00
Fractional coordinates of all 4 atoms:
Mg 0.000 0.000 0.000
Ga 0.250 0.250 0.250
Co 0.500 0.500 0.500
W 0.750 0.750 0.750

***

Entry 5:
## MgGaCoW (GGA-PBE)

Data for a relaxed MgGaCoW crystal.

Values from the calculation:
Total moment: 2.5 Bohr magnetons per cell
Energy relative to the lowest polymorph listed for this composition: 71 meV/atom
V: 58.4 Å³ per cell

Unit cell a=4.355 b=4.355 c=4.355 alpha=60.00 beta=60.00 gamma=60.00
Fractional coordinates of all 4 atoms:
Mg 0.000 0.000 0.000
Ga 0.500 0.500 0.500
Co 0.750 0.750 0.750
W 0.250 0.250 0.250

***

Entry 6:
## MgZrGaCo (GGA-PBE)

Data for a relaxed MgZrGaCo crystal.

Values from the calculation:
Total moment: 0.3 Bohr magnetons per cell
Energy relative to the lowest polymorph listed for this composition: 0 meV/atom
V: 65.8 Å³ per cell

Unit cell a=4.531 b=4.531 c=4.531 alpha=60.00 beta=60.00 gamma=60.00
Fractional coordinates of all 4 atoms:
Mg 0.000 0.000 0.000
Zr 0.500 0.500 0.500
Ga 0.250 0.250 0.250
Co 0.750 0.750 0.750

***

Entry 7:
## MgZrGaCo (GGA-PBE)

Data for a relaxed MgZrGaCo crystal.

Values from the calculation:
Total moment: 0.0 Bohr magnetons per cell
Energy relative to the lowest polymorph listed for this composition: 14 meV/atom
V: 62.6 Å³ per cell

Unit cell a=4.458 b=4.458 c=4.458 alpha=60.00 beta=60.00 gamma=60.00
Fractional coordinates of all 4 atoms:
Mg 0.000 0.000 0.000
Zr 0.750 0.750 0.750
Ga 0.250 0.250 0.250
Co 0.500 0.500 0.500

***

Entry 8:
## MgZrGaCo (GGA-PBE)

Data for a relaxed MgZrGaCo crystal.

Values from the calculation:
Total moment: 0.1 Bohr magnetons per cell
Energy relative to the lowest polymorph listed for this composition: 210 meV/atom
V: 64.2 Å³ per cell

Unit cell a=4.495 b=4.495 c=4.495 alpha=60.00 beta=60.00 gamma=60.00
Fractional coordinates of all 4 atoms:
Mg 0.000 0.000 0.000
Zr 0.750 0.750 0.750
Ga 0.500 0.500 0.500
Co 0.250 0.250 0.250

***

Values for final energy, eV/atom, ordered as above
-5.784; -5.578; -5.401; -5.773; -5.702; -5.312; -5.297; -5.101